Entry from Alexandria via LeMat-Bulk: an optimized crystal structure of AsWO2 (PBE with a Hubbard U).

Structure (POSCAR):
```
AsWO2
1.0
6.022 0.000 0.000
0.000 6.022 0.000
3.011 3.011 4.470
As O W
2 4 2
direct
0.250 0.750 0.500
0.500 0.500 0.000
0.375 0.125 0.750
0.875 0.625 0.250
0.875 0.125 0.250
0.875 0.125 0.750
0.750 0.250 0.500
0.000 0.000 0.000
```

electronic total energy: -0.2118 hartree per atom
space group: I4_1/amd, No. 141